DFT (GGA-PBE) results for a relaxed TaMnPt2 crystal.

Summary:
Formation energy = -0.533 eV/atom
Volume = 123.56 Å³ per cell

a b c (Å): 3.8994 3.8994 8.1260
angles (deg): 90.00 90.00 90.00
Space group I-4m2 (No. 119)
One atom of each set of equivalent atoms:
Ta: 0.0000 0.0000 0.0000 x2
Mn: 0.0000 0.5000 0.7500 x2
Pt: 0.0000 0.0000 0.5000 x2
Pt: 0.0000 0.5000 0.2500 x2

DFT (GGA-PBE) results for a relaxed ErSb2 crystal.

Summary:
Volume = 168.99 Å³ per cell
Formation energy from raw total energies = -0.197 eV per atom

a b c (Å): 3.5468 6.2829 7.5835
angles (deg): 90.00 90.00 90.00
Space group C222 (No. 21)
One atom of each set of equivalent atoms:
Er: 0.0000 0.0000 0.0000 x2
Sb: 0.2500 0.2500 0.3222 x4

DFT (GGA-PBE) results for a relaxed TbCoH crystal.

Summary:
ΔE to the lowest computed polymorph = 0.000 eV per atom
Volume = 268.33 Å³ per cell

a b c (Å): 3.7978 3.7978 21.4839
angles (deg): 90.00 90.00 120.00
Space group R-3m (No. 166, hexagonal axes)
One atom of each set of equivalent atoms:
Tb: 0.0000 0.0000 0.0938 x6
Co: 0.0000 0.0000 0.3347 x6
H: 0.0000 0.0000 0.1997 x6

DFT (GGA-PBE) results for a relaxed V2CdInSn crystal.

Summary:
Formation energy = 1.259 eV/atom
Volume = 141.08 Å³ per cell

a b c (Å): 5.1988 5.1988 5.2199
angles (deg): 90.00 90.00 90.00
Space group P4/mmm (No. 123)
One atom of each set of equivalent atoms:
V: 0.0000 0.5000 0.0000 x2
Cd: 0.0000 0.0000 0.0000 x1
In: 0.5000 0.5000 0.5000 x1
Sn: 0.0000 0.0000 0.5000 x1

DFT (GGA-PBE) results for a relaxed LiMgIO2 crystal.

Summary:
ΔE to the lowest computed polymorph = 0.000 eV per atom
Volume = 98.76 Å³ per cell
Formation energy from raw total energies = -0.808 eV per atom

a b c (Å): 3.9449 3.9449 6.3462
angles (deg): 90.00 90.00 90.00
Space group P4/mmm (No. 123)
One atom of each set of equivalent atoms:
Li: 0.0000 0.0000 0.0000 x1
Mg: 0.5000 0.5000 0.5000 x1
I: 0.5000 0.5000 0.0000 x1
O: 0.0000 0.5000 0.5000 x2

DFT (GGA-PBE) results for a relaxed TaCd2Te crystal.

Summary:
Volume = 88.87 Å³ per cell
Formation energy from raw total energies = 0.453 eV per atom

a b c (Å): 3.1772 5.4085 5.2750
angles (deg): 90.00 101.35 90.00
Space group P2/m (No. 10)
One atom of each set of equivalent atoms:
Ta: 0.0000 0.0000 0.0000 x1
Cd: 0.2145 0.5000 0.7658 x2
Te: 0.5000 0.0000 0.5000 x1